# 1
This record from Alexandria via LeMat-Bulk describes a geometry-optimized Zr2BiPt9 structure. The functional is PBE.

a b c (Å): 4.0847 4.0847 12.3551
angles (deg): 90.00 90.00 90.00
Last column: nearest neighbours and their distance in Å.
Atoms (fractional coordinates):
Pt1 0.0000 0.5000 0.1789  2 Zr 2.83, 8 Pt 2.83-3.01, 2 Bi 3.01
Pt2 0.5000 0.0000 0.8211  2 Zr 2.83, 8 Pt 2.83-3.01, 2 Bi 3.01
Bi1 0.0000 0.0000 0.0000  12 Pt 2.89-3.01
Pt3 0.5000 0.0000 0.1789  2 Zr 2.83, 8 Pt 2.83-3.01, 2 Bi 3.01
Pt4 0.0000 0.5000 0.8211  2 Zr 2.83, 8 Pt 2.83-3.01, 2 Bi 3.01
Pt5 0.5000 0.5000 0.0000  4 Bi 2.89, 8 Pt 3.01
Pt6 0.5000 0.5000 0.6627  8 Pt 2.83-2.87, 4 Zr 2.89
Zr1 0.0000 0.0000 0.6630  12 Pt 2.83-2.89
Pt7 0.0000 0.5000 0.5000  8 Pt 2.87-2.89, 4 Zr 2.87
Pt8 0.5000 0.0000 0.5000  8 Pt 2.87-2.89, 4 Zr 2.87
Zr2 0.0000 0.0000 0.3370  12 Pt 2.83-2.89
Pt9 0.5000 0.5000 0.3373  8 Pt 2.83-2.87, 4 Zr 2.89

**Fermi-level density of states**: 0.33 states/eV per atom
**SG**: P4/mmm
**E_tot**: -6.98 eV per atom

***

# 2
This record from Alexandria via LeMat-Bulk describes a geometry-optimized Zr2Bi2Pt structure. The functional is PBE.

a b c (Å): 7.6722 7.6722 4.0349
angles (deg): 90.00 90.00 90.00
Last column: nearest neighbours and their distance in Å.
Atoms (fractional coordinates):
Bi1 0.8436 0.6564 0.0000  2 Pt 2.90, 6 Zr 2.93-3.09
Bi2 0.1564 0.3436 0.0000  2 Pt 2.90, 6 Zr 2.93-3.09
Bi3 0.3436 0.8436 0.0000  2 Pt 2.90, 6 Zr 2.93-3.09
Bi4 0.6564 0.1564 0.0000  2 Pt 2.90, 6 Zr 2.93-3.09
Zr1 0.8521 0.3521 0.5000  6 Bi 2.93-3.09, 1 Zr 3.21
Zr2 0.6479 0.8521 0.5000  6 Bi 2.93-3.09, 1 Zr 3.21
Zr3 0.3521 0.1479 0.5000  6 Bi 2.93-3.09, 1 Zr 3.21
Pt1 0.5000 0.5000 0.0000  4 Bi 2.90
Zr4 0.1479 0.6479 0.5000  6 Bi 2.93-3.09, 1 Zr 3.21
Pt2 0.0000 0.0000 0.0000  4 Bi 2.90

**Energy above the lowest structure with this stoichiometry**: 0.1634 eV/atom
**Fermi-level density of states**: 0.19 states/eV per atom
**SG**: P4/mbm

***

# 3
This record from Alexandria via LeMat-Bulk describes a geometry-optimized ZrBiPt2 structure. The functional is PBE.

a b c (Å): 7.6247 7.6247 6.1415
angles (deg): 51.63 51.63 90.00
Last column: nearest neighbours and their distance in Å.
Atoms (fractional coordinates):
Pt1 0.3750 0.3852 0.7500  2 Zr 2.74, 2 Bi 2.85, 2 Pt 2.95
Bi1 0.0000 0.0000 0.0000  4 Pt 2.85, 2 Zr 2.94
Zr1 0.5000 0.5000 0.0000  4 Pt 2.74, 2 Bi 2.94
Bi2 0.7500 0.2500 0.5000  4 Pt 2.85, 2 Zr 2.94
Pt2 0.8750 0.8648 0.7500  2 Zr 2.74, 2 Bi 2.85, 2 Pt 2.95
Zr2 0.2500 0.7500 0.5000  4 Pt 2.74, 2 Bi 2.94
Pt3 0.1352 0.6250 0.2500  2 Zr 2.74, 2 Bi 2.85, 2 Pt 2.95
Pt4 0.6148 0.1250 0.2500  2 Zr 2.74, 2 Bi 2.85, 2 Pt 2.95

**Fermi-level density of states**: 0.92 states/eV per atom
**SG**: I-42d
**E_tot**: -6.49 eV per atom

***

# 4
This record from Alexandria via LeMat-Bulk describes a geometry-optimized Zr3BiPt structure. The functional is PBE.

a b c (Å): 5.1402 5.1402 5.1402
angles (deg): 90.00 90.00 90.00
Last column: nearest neighbours and their distance in Å.
Atoms (fractional coordinates):
Bi1 0.5000 0.5000 0.5000  12 Zr 3.63
Zr1 0.5000 0.0000 0.0000  2 Pt 2.57
Zr2 0.0000 0.5000 0.0000  2 Pt 2.57
Zr3 0.0000 0.0000 0.5000  2 Pt 2.57
Pt1 0.0000 0.0000 0.0000  6 Zr 2.57

**Energy above the lowest structure with this stoichiometry**: 0.0000 eV/atom
**Fermi-level density of states**: 0.94 states/eV per atom
**SG**: Pm-3m

***

# 5
This record from Alexandria via LeMat-Bulk describes a geometry-optimized Zr2Bi2Pt structure. The functional is PBE.

a b c (Å): 7.3712 7.3712 4.4639
angles (deg): 90.00 90.00 90.00
Last column: nearest neighbours and their distance in Å.
Atoms (fractional coordinates):
Pt1 0.5000 0.5000 0.0000  4 Zr 2.79
Bi1 0.1590 0.6590 0.5000  6 Zr 2.96-3.21, 1 Bi 3.31
Pt2 0.0000 0.0000 0.0000  4 Zr 2.79
Zr1 0.8455 0.6545 0.0000  2 Pt 2.79, 2 Bi 2.96
Bi2 0.8410 0.3410 0.5000  6 Zr 2.96-3.21, 1 Bi 3.31
Bi3 0.3410 0.1590 0.5000  6 Zr 2.96-3.21, 1 Bi 3.31
Zr2 0.3455 0.8455 0.0000  2 Pt 2.79, 2 Bi 2.96
Bi4 0.6590 0.8410 0.5000  6 Zr 2.96-3.21, 1 Bi 3.31
Zr3 0.6545 0.1545 0.0000  2 Pt 2.79, 2 Bi 2.96
Zr4 0.1545 0.3455 0.0000  2 Pt 2.79, 2 Bi 2.96

**Energy above the lowest structure with this stoichiometry**: 0.0000 eV/atom
**Fermi-level density of states**: 0.53 states/eV per atom
**SG**: P4/mbm

***

# 6
This record from Alexandria via LeMat-Bulk describes a geometry-optimized ZrBi2Pt2 structure. The functional is PBE.

a b c (Å): 7.3064 7.3064 4.2157
angles (deg): 90.00 90.00 90.00
Last column: nearest neighbours and their distance in Å.
Atoms (fractional coordinates):
Pt1 0.3691 0.8691 0.0000  1 Pt 2.70, 2 Zr 2.86, 2 Bi 2.88
Bi1 0.8215 0.3215 0.5000  6 Pt 2.88-3.11
Bi2 0.6785 0.8215 0.5000  6 Pt 2.88-3.11
Pt2 0.6309 0.1309 0.0000  1 Pt 2.70, 2 Zr 2.86, 2 Bi 2.88
Bi3 0.3215 0.1785 0.5000  6 Pt 2.88-3.11
Pt3 0.8691 0.6309 0.0000  1 Pt 2.70, 2 Zr 2.86, 2 Bi 2.88
Bi4 0.1785 0.6785 0.5000  6 Pt 2.88-3.11
Zr1 0.5000 0.5000 0.0000  4 Pt 2.86
Zr2 0.0000 0.0000 0.0000  4 Pt 2.86
Pt4 0.1309 0.3691 0.0000  1 Pt 2.70, 2 Zr 2.86, 2 Bi 2.88

**Fermi-level density of states**: 0.59 states/eV per atom
**SG**: P4/mbm
**E_tot**: -6.01 eV per atom

***

# 7
This record from Alexandria via LeMat-Bulk describes a geometry-optimized ZrBiPt3 structure. The functional is PBE.

a b c (Å): 4.9934 4.9934 4.9934
angles (deg): 90.00 90.00 90.00
Last column: nearest neighbours and their distance in Å.
Atoms (fractional coordinates):
Bi1 0.5000 0.5000 0.5000  12 Pt 3.53
Pt1 0.0000 0.5000 0.0000  2 Zr 2.50
Zr1 0.0000 0.0000 0.0000  6 Pt 2.50
Pt2 0.0000 0.0000 0.5000  2 Zr 2.50
Pt3 0.5000 0.0000 0.0000  2 Zr 2.50

**Energy above the lowest structure with this stoichiometry**: 0.0000 eV/atom
**Fermi-level density of states**: 0.46 states/eV per atom
**SG**: Pm-3m

***

# 8
This record from Alexandria via LeMat-Bulk describes a geometry-optimized Zr6BiPt structure. The functional is PBE.

a b c (Å): 7.8816 7.8868 5.5745
angles (deg): 44.97 45.02 60.00
Last column: nearest neighbours and their distance in Å.
Atoms (fractional coordinates):
Zr1 0.2405 0.9999 0.2601  2 Zr 2.68-2.89
Zr2 0.0004 0.4998 0.7403  2 Zr 2.68-2.89
Zr3 0.5002 0.2408 0.2596  2 Zr 2.68-2.89
Bi1 0.5000 0.5000 0.5000  12 Zr 3.14
Pt1 0.0000 0.0000 0.0000  12 Zr 3.09-3.10
Zr4 0.4998 0.7592 0.7404  2 Zr 2.68-2.89
Zr5 0.7595 0.0001 0.7399  2 Zr 2.68-2.89
Zr6 0.9996 0.5002 0.2597  2 Zr 2.68-2.89

**Fermi-level density of states**: 0.82 states/eV per atom
**SG**: Pm-3
**E_tot**: -8.05 eV per atom

***

# 9
This record from Alexandria via LeMat-Bulk describes a geometry-optimized PuBi2 structure. The functional is PBE.

a b c (Å): 4.8093 6.8090 10.8903
angles (deg): 90.00 90.00 90.00
Last column: nearest neighbours and their distance in Å.
Atoms (fractional coordinates):
Bi1 0.2500 0.6255 0.2792  4 Pu 3.25-3.36, 4 Bi 3.35-3.46
Pu1 0.2500 0.1492 0.8833  9 Bi 3.25-3.53
Pu2 0.2500 0.6492 0.6167  9 Bi 3.25-3.53
Pu3 0.7500 0.8508 0.1167  9 Bi 3.25-3.53
Bi2 0.7500 0.3745 0.7208  4 Pu 3.25-3.36, 4 Bi 3.35-3.46
Bi3 0.7500 0.3621 0.0651  5 Bi 3.35-3.75, 5 Pu 3.37-3.53
Bi4 0.2500 0.1379 0.5651  5 Bi 3.35-3.75, 5 Pu 3.37-3.53
Pu4 0.7500 0.3508 0.3833  9 Bi 3.25-3.53
Bi5 0.2500 0.1255 0.2208  4 Pu 3.25-3.36, 4 Bi 3.35-3.46
Bi6 0.7500 0.8621 0.4349  5 Bi 3.35-3.75, 5 Pu 3.37-3.53
Bi7 0.7500 0.8745 0.7792  4 Pu 3.25-3.36, 4 Bi 3.35-3.46
Bi8 0.2500 0.6379 0.9349  5 Bi 3.35-3.75, 5 Pu 3.37-3.53

**Fermi-level density of states**: 3.79 states/eV per atom
**SG**: Pnma
**E_tot**: -7.67 eV per atom

***

# 10
This record from Alexandria via LeMat-Bulk describes a geometry-optimized Pu2Bi3 structure. The functional is PBE.

a b c (Å): 3.4493 9.2999 9.3066
angles (deg): 89.88 90.00 90.00
Last column: nearest neighbours and their distance in Å.
Atoms (fractional coordinates):
Pu1 0.5000 0.1271 0.7073  8 Bi 3.31-3.50, 2 Pu 3.45
Bi1 0.0000 0.8212 0.5922  6 Pu 3.31-3.50, 4 Bi 3.45-3.56
Pu2 0.5000 0.7079 0.8740  8 Bi 3.31-3.49, 2 Pu 3.45
Bi2 0.5000 0.5000 0.5000  10 Bi 3.45-3.56
Bi3 0.0000 0.1788 0.4078  6 Pu 3.31-3.50, 4 Bi 3.45-3.56
Pu3 0.5000 0.2921 0.1260  8 Bi 3.31-3.49, 2 Pu 3.45
Bi4 0.0000 0.0000 0.0000  8 Pu 3.43, 2 Bi 3.45
Bi5 0.0000 0.5915 0.1791  6 Pu 3.31-3.49, 4 Bi 3.45-3.55
Pu4 0.5000 0.8729 0.2927  8 Bi 3.31-3.50, 2 Pu 3.45
Bi6 0.0000 0.4085 0.8209  6 Pu 3.31-3.49, 4 Bi 3.45-3.55

**Energy above the lowest structure with this stoichiometry**: 0.0569 eV/atom
**Fermi-level density of states**: 4.25 states/eV per atom
**SG**: P2/m

***

# 11
This record from Alexandria via LeMat-Bulk describes a geometry-optimized Pu3Bi structure. The functional is PBE.

a b c (Å): 5.4147 5.4147 5.4147
angles (deg): 60.00 60.00 60.00
Last column: nearest neighbours and their distance in Å.
Atoms (fractional coordinates):
Pu1 0.0000 0.0000 0.0000  8 Pu 3.32
Pu2 0.2500 0.2500 0.2500  4 Bi 3.32, 4 Pu 3.32
Bi1 0.5000 0.5000 0.5000  8 Pu 3.32
Pu3 0.7500 0.7500 0.7500  4 Bi 3.32, 4 Pu 3.32

**Fermi-level density of states**: 3.88 states/eV per atom
**SG**: Fm-3m
**E_tot**: -11.74 eV per atom

***

# 12
This record from Alexandria via LeMat-Bulk describes a geometry-optimized Pu5Bi structure. The functional is PBE.

a b c (Å): 4.1056 5.0297 7.2529
angles (deg): 110.29 90.00 90.00
Last column: nearest neighbours and their distance in Å.
Atoms (fractional coordinates):
Pu1 0.0000 0.3348 0.6697  2 Pu 2.47
Pu2 0.5000 0.5000 0.0000  4 Pu 3.04, 4 Bi 3.25
Bi1 0.0000 0.0000 0.0000  8 Pu 3.25-3.37
Pu3 0.5000 0.7656 0.5312  4 Pu 2.47-2.55
Pu4 0.5000 0.2344 0.4688  4 Pu 2.47-2.55
Pu5 0.0000 0.6652 0.3303  2 Pu 2.47

**Fermi-level density of states**: 2.32 states/eV per atom
**SG**: Cmmm
**E_tot**: -12.58 eV per atom

***

Look up the Fermi-level density of states of the ninth one. 3.79 states/eV per atom

***

Which value of Fermi-level density of states does entry 5 give? 0.53 states/eV per atom

***

Among the records above, which one has the highest Fermi-level density of states? Pu2Bi3